(1)
8
Lattice="6.417 0.000 0.000 0.000 6.417 0.000 3.208 3.208 10.280" Properties=species:S:1:pos:R:3 comment="K2HgTe | Alexandria via LeMat-Bulk | PBE | optimized geometry" de_polymorph_ev_per_atom=0.265 raw_formation_energy_mev_per_atom=-509 pbc="T T T"
K 1.841 4.812 2.570
K 8.021 7.784 7.710
K 4.812 5.049 7.710
K 4.576 1.604 2.570
Hg 0.000 0.000 0.000
Hg 6.417 3.208 5.140
Te 3.208 6.417 5.140
Te 3.208 3.208 0.000

---

(2)
The following is a PBE calculation of an optimized crystal structure of Na2SrTl2Pb, from Alexandria via LeMat-Bulk.

Cell and atoms, written as extended XYZ:
```
12
Lattice="-0.919 4.333 -1.919 -7.948 -2.127 -0.995 -2.042 3.489 8.856" Properties=species:S:1:pos:R:3 pbc="T T T"
Tl -3.771 2.551 7.567
Tl -3.305 2.877 2.008
Tl -6.184 -1.180 0.299
Tl -7.832 2.757 3.907
Na -8.613 0.993 6.369
Na -6.619 4.255 6.707
Na -3.343 -0.157 1.247
Na -0.905 2.346 -0.340
Pb -6.276 1.887 1.197
Pb -3.052 4.231 4.944
Sr -4.914 0.979 4.564
Sr -8.609 -0.562 2.856
```

---

(3)
4
Lattice="-0.635 -1.598 -2.652 0.884 -2.688 1.408 -8.736 -1.351 2.905" Properties=species:S:1:pos:R:3 comment="Pa2TlZn | Alexandria via LeMat-Bulk | PBE | optimized geometry" de_polymorph_ev_per_atom=0.032 pbc="T T T"
Zn 0.125 -2.143 -0.622
Pa -6.758 -1.045 2.247
Pa -1.978 -0.306 0.658
Tl -4.243 -2.819 0.830

---

(4)
12
Lattice="7.079 0.067 0.006 0.128 6.635 0.008 0.022 0.030 8.564" Properties=species:S:1:pos:R:3 comment="KTlCd2Br8 | Alexandria via LeMat-Bulk | PBE | optimized geometry" raw_formation_energy_mev_per_atom=-802 pbc="T T T"
K 0.011 0.015 4.282
Tl 0.000 0.000 0.000
Cd 3.622 3.368 6.459
Cd 3.606 3.364 2.119
Br 1.211 4.970 6.675
Br 6.043 1.794 6.666
Br 2.668 1.879 4.288
Br 4.672 4.986 8.572
Br 1.185 4.938 1.912
Br 4.560 4.853 4.291
Br 6.017 1.762 1.904
Br 2.556 1.746 0.006

---

(5)
The following is a PBE calculation of an optimized crystal structure of TaMn2Be, from Alexandria via LeMat-Bulk.

Cell and atoms, written as extended XYZ:
```
4
Lattice="4.313 -0.010 0.028 3.309 2.766 0.028 1.158 0.419 4.096" Properties=species:S:1:pos:R:3 pbc="T T T"
Mn 4.434 1.603 1.879
Mn 7.578 2.740 0.254
Be 2.195 0.794 1.038
Ta 6.585 2.381 3.115
```

---

(6)
The following is a PBE calculation of an optimized crystal structure of CeCdPd3, from Alexandria via LeMat-Bulk.

Cell and atoms, written as extended XYZ:
```
10
Lattice="-0.553 -4.659 -3.037 5.914 1.064 -2.708 -0.494 -3.548 5.533" Properties=species:S:1:pos:R:3 pbc="T T T"
Pd 2.739 -5.693 0.521
Pd 4.493 -1.024 -1.818
Pd 0.374 -6.119 1.605
Pd 2.129 -1.450 -0.734
Pd 4.294 -2.443 0.395
Pd 0.573 -4.700 -0.607
Cd -0.276 -2.330 -1.519
Cd 0.000 0.000 0.000
Ce 3.363 -3.968 -2.238
Ce 1.505 -3.175 2.025
```

---

(7)
10
Lattice="-3.765 2.156 2.461 -3.450 0.113 -5.377 -1.930 -6.053 2.350" Properties=species:S:1:pos:R:3 comment="BaNaCdO2 | Alexandria via LeMat-Bulk | PBE | optimized geometry" raw_formation_energy_mev_per_atom=-1303 pbc="T T T"
O -6.966 -4.334 -0.154
O -4.373 -1.773 1.567
O -2.180 0.550 -0.411
O -4.772 -2.011 -2.132
Cd -0.965 -3.027 1.175
Cd 0.000 0.000 0.000
Ba -4.757 0.003 -0.434
Ba -4.388 -3.788 -0.131
Na -3.389 -3.428 3.032
Na -2.306 -0.469 1.780

---

(8)
The following is a PBE calculation of an optimized crystal structure of MgGa5Ni, from Alexandria via LeMat-Bulk.

Cell and atoms, written as extended XYZ:
```
7
Lattice="-0.254 0.282 4.276 -2.598 -3.417 0.071 5.145 -3.901 0.563" Properties=species:S:1:pos:R:3 pbc="T T T"
Ga 0.218 -2.858 0.201
Ga 2.330 -4.459 0.433
Ga 1.389 -1.009 2.304
Ga 3.502 -2.610 2.535
Ga -1.426 -1.567 2.173
Mg 0.000 0.000 0.000
Ni 2.573 -1.950 0.282
```

---

(9)
5
Lattice="3.953 0.000 0.000 0.000 3.953 0.000 0.000 0.000 9.994" Properties=species:S:1:pos:R:3 comment="CsAl2Sn2 | Alexandria via LeMat-Bulk | PBE | optimized geometry" de_polymorph_ev_per_atom=0.049 pbc="T T T"
Al 0.000 1.976 4.997
Al 1.976 0.000 4.997
Sn 1.976 1.976 2.881
Sn 1.976 1.976 7.113
Cs 0.000 0.000 0.000

---

(10)
4
Lattice="-4.754 -2.326 0.294 -2.796 -4.172 -1.696 0.738 -3.712 4.168" Properties=species:S:1:pos:R:3 comment="LiTl2Si | Alexandria via LeMat-Bulk | PBE | optimized geometry" de_polymorph_ev_per_atom=0.028 raw_formation_energy_mev_per_atom=170 pbc="T T T"
Si -1.590 -2.555 0.804
Li -3.563 -5.144 1.264
Tl -5.220 -7.588 1.901
Tl -7.393 -6.525 -1.223

---

(11)
11
Lattice="5.257 0.000 0.000 0.000 7.024 0.170 -2.628 -2.765 9.450" Properties=species:S:1:pos:R:3 comment="Pr8In2Pt | Alexandria via LeMat-Bulk | PBE | optimized geometry" de_polymorph_ev_per_atom=0.000 pbc="T T T"
Pr 2.628 6.064 2.989
Pr 2.628 3.275 5.571
Pr 2.628 2.696 1.805
Pr 0.000 5.392 0.440
Pr 0.000 -1.805 6.631
Pr 0.000 1.563 7.815
Pr 0.000 0.984 4.049
Pr 2.628 -1.132 9.180
In 2.628 0.033 6.051
In 0.000 4.227 3.569
Pt 2.628 0.000 0.000

---

(12)
10
Lattice="7.160 0.000 0.000 0.000 7.160 0.000 3.580 3.580 6.116" Properties=species:S:1:pos:R:3 comment="Cs2SiWCl6 | Alexandria via LeMat-Bulk | PBE | optimized geometry" raw_formation_energy_mev_per_atom=-955 pbc="T T T"
Si 3.580 3.580 0.000
Cl 5.420 1.740 0.000
Cl 7.160 7.160 2.456
Cl 1.740 1.740 0.000
Cl 1.740 5.420 0.000
Cl 3.580 3.580 3.660
Cl 5.420 5.420 0.000
W 0.000 0.000 0.000
Cs 3.580 7.160 3.058
Cs 7.160 3.580 3.058

---

(13)
4
Lattice="-3.374 -1.026 -0.627 -0.762 -1.982 -2.884 0.092 -8.934 3.892" Properties=species:S:1:pos:R:3 comment="PmSm2O | Alexandria via LeMat-Bulk | PBE | optimized geometry" de_polymorph_ev_per_atom=0.000 raw_formation_energy_mev_per_atom=-1164 pbc="T T T"
Pm 0.000 0.000 0.000
Sm -3.608 -5.857 -1.693
Sm -0.436 -6.085 2.074
O -2.022 -5.971 0.190

---

(14)
4
Lattice="-1.420 0.894 -4.180 -1.849 -3.921 -1.225 -0.861 2.369 3.734" Properties=species:S:1:pos:R:3 comment="Zn2OsRu | Alexandria via LeMat-Bulk | PBE | optimized geometry" de_polymorph_ev_per_atom=0.197 pbc="T T T"
Ru -1.958 0.874 -1.575
Zn 0.000 0.000 0.000
Zn -2.173 -1.533 -0.097
Os -1.635 -1.513 -2.703

---

(15)
5
Lattice="-3.105 -0.454 1.682 1.511 -2.415 2.136 1.848 5.484 4.893" Properties=species:S:1:pos:R:3 comment="ZnBSN2 | Alexandria via LeMat-Bulk | PBE | optimized geometry" de_polymorph_ev_per_atom=1.434 raw_formation_energy_mev_per_atom=2263 pbc="T T T"
S 0.924 2.742 2.447
N 0.755 -1.208 1.068
N -1.552 -0.227 0.841
B 0.127 1.307 4.356
Zn 0.000 0.000 0.000

---

(16)
15
Lattice="6.176 0.000 3.331 2.190 5.775 3.331 -2.571 -1.775 12.159" Properties=species:S:1:pos:R:3 comment="Tb3Nd4Y8 | Alexandria via LeMat-Bulk | PBE | optimized geometry" de_polymorph_ev_per_atom=0.000 pbc="T T T"
Y 4.425 3.054 13.970
Y 5.626 3.883 8.062
Y 3.270 0.117 12.430
Y 4.526 0.984 6.390
Y 2.525 3.883 6.390
Y 0.169 0.117 10.758
Y 1.269 3.016 12.430
Y 1.370 0.946 4.851
Nd 2.897 2.000 9.410
Nd 0.265 0.183 14.292
Nd 0.000 0.000 0.000
Nd 5.530 3.818 4.528
Tb 1.803 -0.887 7.745
Tb -1.286 -0.887 6.079
Tb -0.191 2.000 7.745

---

(17)
4
Lattice="2.896 0.000 0.000 0.000 3.923 0.000 0.000 0.000 5.180" Properties=species:S:1:pos:R:3 comment="Re2SiPt | Alexandria via LeMat-Bulk | PBE | optimized geometry" raw_formation_energy_mev_per_atom=127 pbc="T T T"
Re 0.000 0.000 0.090
Re 0.000 0.000 2.500
Pt 1.448 1.962 3.885
Si 1.448 1.962 1.295

---

(18)
The following is a PBE calculation of an optimized crystal structure of Pr2Zn4Pd3Au, from Alexandria via LeMat-Bulk.

Cell and atoms, written as extended XYZ:
```
10
Lattice="4.364 0.000 0.000 0.000 4.364 0.000 0.000 0.000 10.430" Properties=species:S:1:pos:R:3 pbc="T T T"
Pd 2.182 0.000 9.096
Pd 0.000 2.182 1.335
Pd 0.000 0.000 5.215
Zn 2.182 2.182 0.000
Zn 0.000 2.182 3.820
Zn 2.182 0.000 6.610
Zn 0.000 0.000 0.000
Pr 2.182 0.000 2.624
Pr 0.000 2.182 7.806
Au 2.182 2.182 5.215
```

---

(19)
The following is a PBE calculation of an optimized crystal structure of KGe2H6N2, from Alexandria via LeMat-Bulk.

Cell and atoms, written as extended XYZ:
```
11
Lattice="-1.903 3.644 -0.151 -7.006 -1.343 -0.157 7.349 4.120 6.652" Properties=species:S:1:pos:R:3 pbc="T T T"
H -1.698 2.891 1.266
H 0.138 3.530 5.078
H -1.034 5.732 4.983
H -0.460 2.286 4.215
H -0.526 0.689 1.361
H -1.100 4.135 2.130
N -1.976 3.680 1.859
N 0.416 2.741 4.485
Ge -3.487 0.509 0.202
Ge 1.927 5.912 6.142
K 2.723 3.882 3.251
```

---

(20)
4
Lattice="-0.027 -4.017 -0.485 -0.192 1.590 3.716 -9.890 0.134 -0.568" Properties=species:S:1:pos:R:3 comment="KRh | Alexandria via LeMat-Bulk | PBE | optimized geometry" de_polymorph_ev_per_atom=0.131 pbc="T T T"
Rh -5.857 0.079 -0.336
Rh -6.587 -2.060 0.542
K -9.017 0.122 -0.518
K -3.427 -2.103 0.723

---

no.,calculated total energy (eV/atom)
1,-1.919
2,-2.344
3,-5.549
4,-2.358
5,-8.444
6,-4.889
7,-4.117
8,-3.382
9,-3.262
10,-2.848
11,-4.888
12,-4.072
13,-5.951
14,-5.564
15,-3.483
16,-5.520
17,-8.963
18,-3.932
19,-4.482
20,-3.725